1.
An optimized crystal structure of Mn2CoAs. Source: Alexandria via LeMat-Bulk, functional PBE.

CIF file:
```
data_Mn2CoAs
_cell_length_a 3.0800
_cell_length_b 3.8560
_cell_length_c 4.8722
_cell_angle_alpha 90.00
_cell_angle_beta 108.31
_cell_angle_gamma 90.00
_space_group_name_H-M_alt 'P 1 m 1'
_space_group_IT_number 6
loop_
_space_group_symop_operation_xyz
'x,y,z'
'x,-y,z'
loop_
_atom_site_label
_atom_site_type_symbol
_atom_site_fract_x
_atom_site_fract_y
_atom_site_fract_z
Mn1 Mn 0.0000 0.0000 0.0000
Mn2 Mn 0.3118 0.5000 0.6272
Co1 Co 0.7404 0.0000 0.4848
As1 As 0.5841 0.5000 0.1695
```

Summary:
Uncorrected energy ... -30.11 eV per cell
Mass density ... 7.37 g/cm3



2.
An optimized crystal structure of Cs2KCdAu. Source: Alexandria via LeMat-Bulk, functional PBE.

CIF file:
```
data_Cs2KCdAu
_cell_length_a 6.9151
_cell_length_b 6.9151
_cell_length_c 6.4455
_cell_angle_alpha 90.00
_cell_angle_beta 90.00
_cell_angle_gamma 90.00
_space_group_name_H-M_alt 'P 4/m m m'
_space_group_IT_number 123
_space_group_name_Hall '-P 4 2'
loop_
_atom_site_label
_atom_site_type_symbol
_atom_site_fract_x
_atom_site_fract_y
_atom_site_fract_z
Cs1 Cs 0.0000 0.5000 0.0000
K1 K 0.0000 0.0000 0.5000
Cd1 Cd 0.5000 0.5000 0.5000
Au1 Au 0.0000 0.0000 0.0000
```

Summary:
Uncorrected energy ... -7.29 eV per cell
Mass density ... 3.31 g/cm3
Energy above the lowest structure with this stoichiometry ... 47 meV/atom



3.
An optimized crystal structure of KTaBr2. Source: Alexandria via LeMat-Bulk, functional PBE.

CIF file:
```
data_KTaBr2
_cell_length_a 8.3828
_cell_length_b 3.3532
_cell_length_c 7.1512
_cell_angle_alpha 90.00
_cell_angle_beta 100.05
_cell_angle_gamma 90.00
_space_group_name_H-M_alt 'C 1 2/m 1'
_space_group_IT_number 12
loop_
_space_group_symop_operation_xyz
'x,y,z'
'-x,-y,-z'
'-x,y,-z'
'x,-y,z'
'x+1/2,y+1/2,z'
'-x+1/2,-y+1/2,-z'
'-x+1/2,y+1/2,-z'
'x+1/2,-y+1/2,z'
loop_
_atom_site_label
_atom_site_type_symbol
_atom_site_fract_x
_atom_site_fract_y
_atom_site_fract_z
K1 K 0.0000 0.0000 0.0000
Ta1 Ta 0.0000 0.5000 0.5000
Br1 Br 0.2355 0.0000 0.6885
```

Summary:
Uncorrected energy ... -33.39 eV per cell
Mass density ... 6.37 g/cm3
E_form (uncorrected) ... -0.100 eV/atom
Energy above the lowest structure with this stoichiometry ... 33 meV/atom



4.
An optimized crystal structure of BeC. Source: Alexandria via LeMat-Bulk, functional PBE.

CIF file:
```
data_BeC
_cell_length_a 2.4193
_cell_length_b 2.4193
_cell_length_c 19.5319
_cell_angle_alpha 90.00
_cell_angle_beta 90.00
_cell_angle_gamma 120.00
_space_group_name_H-M_alt 'P 63/m m c'
_space_group_IT_number 194
_space_group_name_Hall '-P 6c 2c'
loop_
_atom_site_label
_atom_site_type_symbol
_atom_site_fract_x
_atom_site_fract_y
_atom_site_fract_z
Be1 Be 0.3333 0.6667 0.0441
C1 C 0.0000 0.0000 0.2500
C2 C 0.3333 0.6667 0.7500
```

Summary:
Uncorrected energy ... -49.18 eV per cell
Mass density ... 1.41 g/cm3
Energy above the lowest structure with this stoichiometry ... 9 meV/atom



5.
An optimized crystal structure of H2OsN. Source: Alexandria via LeMat-Bulk, functional PBE.

CIF file:
```
data_H2OsN
_cell_length_a 3.7071
_cell_length_b 5.0731
_cell_length_c 4.3839
_cell_angle_alpha 90.00
_cell_angle_beta 90.00
_cell_angle_gamma 90.00
_space_group_name_H-M_alt 'A m m 2'
_space_group_IT_number 38
loop_
_space_group_symop_operation_xyz
'x,y,z'
'-x,-y,z'
'-x,y,z'
'x,-y,z'
'x,y+1/2,z+1/2'
'-x,-y+1/2,z+1/2'
'-x,y+1/2,z+1/2'
'x,-y+1/2,z+1/2'
loop_
_atom_site_label
_atom_site_type_symbol
_atom_site_fract_x
_atom_site_fract_y
_atom_site_fract_z
H1 H 0.0000 0.1732 0.0000
Os1 Os 0.0000 0.0000 0.3382
N1 N 0.5000 0.0000 0.3461
```

Summary:
Uncorrected energy ... -49.28 eV per cell
Mass density ... 8.31 g/cm3
Energy above the lowest structure with this stoichiometry ... 276 meV/atom



6.
An optimized crystal structure of Ta2AlAs. Source: Alexandria via LeMat-Bulk, functional PBE.

CIF file:
```
data_Ta2AlAs
_cell_length_a 3.4369
_cell_length_b 4.8393
_cell_length_c 8.2522
_cell_angle_alpha 90.00
_cell_angle_beta 90.00
_cell_angle_gamma 90.00
_space_group_name_H-M_alt 'C m m m'
_space_group_IT_number 65
_space_group_name_Hall '-C 2 2'
loop_
_atom_site_label
_atom_site_type_symbol
_atom_site_fract_x
_atom_site_fract_y
_atom_site_fract_z
Ta1 Ta 0.0000 0.0000 0.2396
Al1 Al 0.0000 0.5000 0.5000
As1 As 0.0000 0.5000 0.0000
```

Summary:
Uncorrected energy ... -64.84 eV per cell
Mass density ... 11.22 g/cm3
Energy above the lowest structure with this stoichiometry ... 135 meV/atom



7.
An optimized crystal structure of BeCd4Tc. Source: Alexandria via LeMat-Bulk, functional PBE.

CIF file:
```
data_BeCd4Tc
_cell_length_a 7.7889
_cell_length_b 7.7889
_cell_length_c 7.7889
_cell_angle_alpha 90.00
_cell_angle_beta 90.00
_cell_angle_gamma 90.00
_space_group_name_H-M_alt 'F -4 3 m'
_space_group_IT_number 216
_space_group_name_Hall 'F -4 2 3'
loop_
_atom_site_label
_atom_site_type_symbol
_atom_site_fract_x
_atom_site_fract_y
_atom_site_fract_z
Be1 Be 0.0000 0.0000 0.0000
Cd1 Cd 0.1248 0.1248 0.6248
Tc1 Tc 0.2500 0.2500 0.2500
```

Summary:
Uncorrected energy ... -51.11 eV per cell
Mass density ... 7.82 g/cm3



8.
An optimized crystal structure of U2Zn2Ni15. Source: Alexandria via LeMat-Bulk, functional PBE.

CIF file:
```
data_U2Zn2Ni15
_cell_length_a 8.2410
_cell_length_b 8.2410
_cell_length_c 12.2294
_cell_angle_alpha 90.00
_cell_angle_beta 90.00
_cell_angle_gamma 120.00
_space_group_name_H-M_alt 'R -3 m'
_space_group_IT_number 166
_space_group_name_Hall '-R 3 2"'
loop_
_atom_site_label
_atom_site_type_symbol
_atom_site_fract_x
_atom_site_fract_y
_atom_site_fract_z
U1 U 0.0000 0.0000 0.1524
Zn1 Zn 0.0000 0.0000 0.4009
Ni1 Ni 0.0000 0.3086 0.5000
Ni2 Ni 0.0000 0.5000 0.0000
Ni3 Ni 0.0044 0.5022 0.6543
```

Summary:
Uncorrected energy ... -344.92 eV per cell
Mass density ... 10.30 g/cm3
Energy above the lowest structure with this stoichiometry ... 0 meV/atom



9.
An optimized crystal structure of ScTaHg2. Source: Alexandria via LeMat-Bulk, functional PBE.

CIF file:
```
data_ScTaHg2
_cell_length_a 6.1929
_cell_length_b 8.3390
_cell_length_c 3.1083
_cell_angle_alpha 90.00
_cell_angle_beta 90.00
_cell_angle_gamma 90.00
_space_group_name_H-M_alt 'C m m m'
_space_group_IT_number 65
_space_group_name_Hall '-C 2 2'
loop_
_atom_site_label
_atom_site_type_symbol
_atom_site_fract_x
_atom_site_fract_y
_atom_site_fract_z
Sc1 Sc 0.0000 0.0000 0.0000
Ta1 Ta 0.0000 0.5000 0.0000
Hg1 Hg 0.2500 0.2500 0.5000
```

Summary:
Uncorrected energy ... -37.02 eV per cell
Mass density ... 12.97 g/cm3
Energy above the lowest structure with this stoichiometry ... 24 meV/atom



10.
An optimized crystal structure of Ba8Tl2Si. Source: Alexandria via LeMat-Bulk, functional PBE.

CIF file:
```
data_Ba8Tl2Si
_cell_length_a 21.2438
_cell_length_b 6.0048
_cell_length_c 8.2545
_cell_angle_alpha 90.00
_cell_angle_beta 107.64
_cell_angle_gamma 90.00
_space_group_name_H-M_alt 'C 1 2/m 1'
_space_group_IT_number 12
loop_
_space_group_symop_operation_xyz
'x,y,z'
'-x,-y,-z'
'-x,y,-z'
'x,-y,z'
'x+1/2,y+1/2,z'
'-x+1/2,-y+1/2,-z'
'-x+1/2,y+1/2,-z'
'x+1/2,-y+1/2,z'
loop_
_atom_site_label
_atom_site_type_symbol
_atom_site_fract_x
_atom_site_fract_y
_atom_site_fract_z
Ba1 Ba 0.0273 0.0000 0.3016
Ba2 Ba 0.0930 0.5000 0.9200
Ba3 Ba 0.1567 0.5000 0.4531
Ba4 Ba 0.2087 0.0000 0.8040
Tl1 Tl 0.1834 0.0000 0.2062
Si1 Si 0.0000 0.5000 0.5000
```

Summary:
Uncorrected energy ... -55.90 eV per cell
Mass density ... 5.08 g/cm3
E_form (uncorrected) ... -0.219 eV/atom



11.
An optimized crystal structure of KNiH4. Source: Alexandria via LeMat-Bulk, functional PBE.

CIF file:
```
data_KNiH4
_cell_length_a 10.7039
_cell_length_b 5.8212
_cell_length_c 4.6630
_cell_angle_alpha 90.00
_cell_angle_beta 95.29
_cell_angle_gamma 90.00
_space_group_name_H-M_alt 'C 1 2/m 1'
_space_group_IT_number 12
loop_
_space_group_symop_operation_xyz
'x,y,z'
'-x,-y,-z'
'-x,y,-z'
'x,-y,z'
'x+1/2,y+1/2,z'
'-x+1/2,-y+1/2,-z'
'-x+1/2,y+1/2,-z'
'x+1/2,-y+1/2,z'
loop_
_atom_site_label
_atom_site_type_symbol
_atom_site_fract_x
_atom_site_fract_y
_atom_site_fract_z
K1 K 0.1903 0.0000 0.2135
Ni1 Ni 0.0412 0.5000 0.2711
H1 H 0.0000 0.3286 0.0000
H2 H 0.0677 0.3566 0.5762
H3 H 0.1915 0.5000 0.2521
```

Summary:
Uncorrected energy ... -82.77 eV per cell
Mass density ... 2.34 g/cm3
Energy above the lowest structure with this stoichiometry ... 22 meV/atom



12.
An optimized crystal structure of Sm6Os2PtBr3. Source: Alexandria via LeMat-Bulk, functional PBE.

CIF file:
```
data_Sm6Os2PtBr3
_cell_length_a 7.1294
_cell_length_b 12.3488
_cell_length_c 8.0918
_cell_angle_alpha 90.00
_cell_angle_beta 107.07
_cell_angle_gamma 90.00
_space_group_name_H-M_alt 'C 1 2/m 1'
_space_group_IT_number 12
loop_
_space_group_symop_operation_xyz
'x,y,z'
'-x,-y,-z'
'-x,y,-z'
'x,-y,z'
'x+1/2,y+1/2,z'
'-x+1/2,-y+1/2,-z'
'-x+1/2,y+1/2,-z'
'x+1/2,-y+1/2,z'
loop_
_atom_site_label
_atom_site_type_symbol
_atom_site_fract_x
_atom_site_fract_y
_atom_site_fract_z
Sm1 Sm 0.2188 0.0000 0.1952
Sm2 Sm 0.2385 0.3271 0.1962
Os1 Os 0.0000 0.1668 0.0000
Pt1 Pt 0.0000 0.5000 0.0000
Br1 Br 0.0000 0.0000 0.5000
Br2 Br 0.0000 0.3310 0.5000
```

Summary:
Uncorrected energy ... -145.05 eV per cell
Mass density ... 8.38 g/cm3
E_form (uncorrected) ... -0.891 eV/atom



13.
An optimized crystal structure of Cs3Se2I8. Source: Alexandria via LeMat-Bulk, functional PBE.

CIF file:
```
data_Cs3Se2I8
_cell_length_a 8.2444
_cell_length_b 8.2444
_cell_length_c 34.4029
_cell_angle_alpha 90.00
_cell_angle_beta 90.00
_cell_angle_gamma 120.00
_space_group_name_H-M_alt 'R -3 m'
_space_group_IT_number 166
_space_group_name_Hall '-R 3 2"'
loop_
_atom_site_label
_atom_site_type_symbol
_atom_site_fract_x
_atom_site_fract_y
_atom_site_fract_z
Cs1 Cs 0.0000 0.0000 0.0000
Cs2 Cs 0.0000 0.0000 0.2083
Se1 Se 0.0000 0.0000 0.4014
I1 I 0.0000 0.0000 0.3218
I2 I 0.0388 0.5194 0.7703
```

Summary:
Uncorrected energy ... -87.70 eV per cell
Mass density ... 3.87 g/cm3
E_form (uncorrected) ... -0.562 eV/atom



14.
An optimized crystal structure of LaTb2Tm5Th. Source: Alexandria via LeMat-Bulk, functional PBE.

CIF file:
```
data_LaTb2Tm5Th
_cell_length_a 8.6601
_cell_length_b 8.6601
_cell_length_c 15.2286
_cell_angle_alpha 90.00
_cell_angle_beta 90.00
_cell_angle_gamma 90.00
_space_group_name_H-M_alt 'I 4/m c m'
_space_group_IT_number 140
_space_group_name_Hall '-I 4 2c'
loop_
_atom_site_label
_atom_site_type_symbol
_atom_site_fract_x
_atom_site_fract_y
_atom_site_fract_z
La1 La 0.0000 0.5000 0.2500
Tb1 Tb 0.1159 0.3841 0.0000
Tm1 Tm 0.0000 0.0000 0.0000
Tm2 Tm 0.2080 0.2920 0.3651
Th1 Th 0.0000 0.0000 0.2500
```

Summary:
Uncorrected energy ... -165.19 eV per cell
Mass density ... 8.92 g/cm3



15.
An optimized crystal structure of Bi2Pd7Pb2. Source: Alexandria via LeMat-Bulk, functional PBE.

CIF file:
```
data_Bi2Pd7Pb2
_cell_length_a 4.8668
_cell_length_b 6.8894
_cell_length_c 7.0476
_cell_angle_alpha 83.25
_cell_angle_beta 74.36
_cell_angle_gamma 78.27
_space_group_name_H-M_alt 'P -1'
_space_group_IT_number 2
loop_
_space_group_symop_operation_xyz
'x,y,z'
'-x,-y,-z'
loop_
_atom_site_label
_atom_site_type_symbol
_atom_site_fract_x
_atom_site_fract_y
_atom_site_fract_z
Bi1 Bi 0.2264 0.2831 0.2148
Pd1 Pd 0.0000 0.0000 0.5000
Pd2 Pd 0.2448 0.6003 0.4503
Pd3 Pd 0.2483 0.8959 0.0852
Pd4 Pd 0.2816 0.5470 0.8786
Pb1 Pb 0.2959 0.1877 0.7076
```

Summary:
Uncorrected energy ... -53.78 eV per cell
Mass density ... 11.78 g/cm3
Energy above the lowest structure with this stoichiometry ... 20 meV/atom



16.
An optimized crystal structure of Sm2DyThP4. Source: Alexandria via LeMat-Bulk, functional PBE.

CIF file:
```
data_Sm2DyThP4
_cell_length_a 7.0779
_cell_length_b 4.0987
_cell_length_c 7.0944
_cell_angle_alpha 90.00
_cell_angle_beta 109.45
_cell_angle_gamma 90.00
_space_group_name_H-M_alt 'P 1 2/m 1'
_space_group_IT_number 10
loop_
_space_group_symop_operation_xyz
'x,y,z'
'-x,-y,-z'
'-x,y,-z'
'x,-y,z'
loop_
_atom_site_label
_atom_site_type_symbol
_atom_site_fract_x
_atom_site_fract_y
_atom_site_fract_z
Sm1 Sm 0.0000 0.0000 0.0000
Sm2 Sm 0.5000 0.5000 0.0000
Dy1 Dy 0.0000 0.5000 0.5000
Th1 Th 0.5000 0.0000 0.5000
P1 P 0.2463 0.0000 0.7453
P2 P 0.2479 0.5000 0.2521
```

Summary:
Uncorrected energy ... -55.89 eV per cell
Mass density ... 7.01 g/cm3



17.
An optimized crystal structure of HgPdPt2. Source: Alexandria via LeMat-Bulk, functional PBE.

CIF file:
```
data_HgPdPt2
_cell_length_a 3.8638
_cell_length_b 3.8638
_cell_length_c 19.5540
_cell_angle_alpha 90.00
_cell_angle_beta 90.00
_cell_angle_gamma 90.00
_space_group_name_H-M_alt 'I -4 2 d'
_space_group_IT_number 122
_space_group_name_Hall 'I -4 2bw'
loop_
_atom_site_label
_atom_site_type_symbol
_atom_site_fract_x
_atom_site_fract_y
_atom_site_fract_z
Hg1 Hg 0.0000 0.0000 0.0000
Pd1 Pd 0.0000 0.0000 0.5000
Pt1 Pt 0.2411 0.2500 0.6250
```

Summary:
Uncorrected energy ... -66.93 eV per cell
Mass density ... 15.86 g/cm3



18.
An optimized crystal structure of Tb2ErTh2. Source: Alexandria via LeMat-Bulk, functional PBE.

CIF file:
```
data_Tb2ErTh2
_cell_length_a 8.4337
_cell_length_b 16.1793
_cell_length_c 6.1242
_cell_angle_alpha 90.00
_cell_angle_beta 126.03
_cell_angle_gamma 90.00
_space_group_name_H-M_alt 'C 1 2/c 1'
_space_group_IT_number 15
loop_
_space_group_symop_operation_xyz
'x,y,z'
'-x,-y,-z'
'-x,y,-z+1/2'
'x,-y,z+1/2'
'x+1/2,y+1/2,z'
'-x+1/2,-y+1/2,-z'
'-x+1/2,y+1/2,-z+1/2'
'x+1/2,-y+1/2,z+1/2'
loop_
_atom_site_label
_atom_site_type_symbol
_atom_site_fract_x
_atom_site_fract_y
_atom_site_fract_z
Tb1 Tb 0.2370 0.0707 0.0668
Er1 Er 0.0000 0.3977 0.2500
Th1 Th 0.1073 0.2190 0.5928
```

Summary:
Uncorrected energy ... -110.38 eV per cell
Mass density ... 9.33 g/cm3
Energy above the lowest structure with this stoichiometry ... 0 meV/atom



19.
An optimized crystal structure of WBrCl2. Source: Alexandria via LeMat-Bulk, functional PBE.

CIF file:
```
data_WBrCl2
_cell_length_a 3.1086
_cell_length_b 4.7316
_cell_length_c 14.5848
_cell_angle_alpha 90.00
_cell_angle_beta 90.00
_cell_angle_gamma 90.00
_space_group_name_H-M_alt 'I m m 2'
_space_group_IT_number 44
loop_
_space_group_symop_operation_xyz
'x,y,z'
'-x,-y,z'
'-x,y,z'
'x,-y,z'
'x+1/2,y+1/2,z+1/2'
'-x+1/2,-y+1/2,z+1/2'
'-x+1/2,y+1/2,z+1/2'
'x+1/2,-y+1/2,z+1/2'
loop_
_atom_site_label
_atom_site_type_symbol
_atom_site_fract_x
_atom_site_fract_y
_atom_site_fract_z
W1 W 0.0000 0.0000 0.0000
Br1 Br 0.0000 0.5000 0.6440
Cl1 Cl 0.0000 0.0000 0.4993
Cl2 Cl 0.0000 0.5000 0.3664
```

Summary:
Uncorrected energy ... -37.20 eV per cell
Mass density ... 5.18 g/cm3
E_form (uncorrected) ... -0.070 eV/atom
Energy above the lowest structure with this stoichiometry ... 277 meV/atom



20.
An optimized crystal structure of AlNi2Au. Source: Alexandria via LeMat-Bulk, functional PBE.

CIF file:
```
data_AlNi2Au
_cell_length_a 2.7556
_cell_length_b 2.7556
_cell_length_c 24.9462
_cell_angle_alpha 90.00
_cell_angle_beta 90.00
_cell_angle_gamma 120.00
_space_group_name_H-M_alt 'R -3 m'
_space_group_IT_number 166
_space_group_name_Hall '-R 3 2"'
loop_
_atom_site_label
_atom_site_type_symbol
_atom_site_fract_x
_atom_site_fract_y
_atom_site_fract_z
Al1 Al 0.0000 0.0000 0.0000
Ni1 Ni 0.0000 0.0000 0.2580
Au1 Au 0.0000 0.0000 0.5000
```

Summary:
Uncorrected energy ... -57.56 eV per cell
Mass density ... 10.37 g/cm3